A relaxed TbHo2Al crystal, computed with GGA-PBE.

- N(E_F): 3.7 states/eV per cell
- E_form: -191 meV/atom
- Offset from the most stable computed form: 0.008 eV/atom
- Magnetic moment: 0.00 μB per cell
- Raw total energy: -18.292 eV per cell

```
data_TbHo2Al
_cell_length_a 3.4999
_cell_length_b 3.4999
_cell_length_c 8.9864
_cell_angle_alpha 90.00
_cell_angle_beta 90.00
_cell_angle_gamma 90.00
_space_group_name_H-M_alt 'P 1'
_space_group_IT_number 1
loop_
_space_group_symop_operation_xyz
'x,y,z'
loop_
_atom_site_label
_atom_site_fract_x
_atom_site_fract_y
_atom_site_fract_z
Tb1 0.0000 0.0000 0.0000
Ho1 0.5000 0.5000 0.2864
Ho2 0.5000 0.5000 0.7136
Al1 0.0000 0.0000 0.5000
```



A relaxed RbRhPb6 crystal, computed with GGA-PBE.

- N(E_F): 4.5 states/eV per cell
- E_form: -41 meV/atom
- Magnetic moment: 0.00 μB per cell
- Raw total energy: -30.893 eV per cell

```
data_RbRhPb6
_cell_length_a 4.9516
_cell_length_b 4.9516
_cell_length_c 10.5414
_cell_angle_alpha 90.00
_cell_angle_beta 90.00
_cell_angle_gamma 90.00
_space_group_name_H-M_alt 'P 1'
_space_group_IT_number 1
loop_
_space_group_symop_operation_xyz
'x,y,z'
loop_
_atom_site_label
_atom_site_fract_x
_atom_site_fract_y
_atom_site_fract_z
Rb1 0.0000 0.0000 0.0000
Rh1 0.0000 0.0000 0.5000
Pb1 0.0000 0.5000 0.3478
Pb2 0.0000 0.5000 0.6522
Pb3 0.5000 0.0000 0.3478
Pb4 0.5000 0.0000 0.6522
Pb5 0.5000 0.5000 0.1548
Pb6 0.5000 0.5000 0.8452
```